(1)
The following is a DFT calculation (PBE) of a relaxed SrTaTi2 crystal.

Cell: 5.0492 5.0492 9.8569 Å, 75.16 75.16 90.00°
With the nearest neighbours (Å) after each atom.
Atoms (fractional coordinates):
1 Sr 0.5000 0.5000 0.0000  4 Ta 3.57, 8 Ti 3.64
2 Sr 0.2500 0.7500 0.5000  4 Ta 3.57, 8 Ti 3.64
3 Ti 0.8748 0.1250 0.2500  2 Ti 2.52, 2 Ta 2.62
4 Ti 0.8752 0.6250 0.2500  2 Ti 2.52, 2 Ta 2.62
5 Ti 0.3750 0.1252 0.7500  2 Ti 2.52, 2 Ta 2.62
6 Ti 0.8750 0.1248 0.7500  2 Ti 2.52, 2 Ta 2.62
7 Ta 0.0000 0.0000 0.0000  4 Ti 2.62
8 Ta 0.7500 0.2500 0.5000  4 Ti 2.62

**Total energy**: -6.10 eV/atom
**Symmetry**: I4_1/amd, No. 141
**Density of states at the Fermi level**: 9.59 states/eV per cell
**Magnetic moment**: 0.000 μB/f.u.
**Relative energy among the computed polymorphs**: 451 meV/atom

---

(2)
The following is a DFT calculation (PBE) of a relaxed WN crystal.

Cell: 3.0865 3.0865 3.0865 Å, 60.00 60.00 60.00°
With the nearest neighbours (Å) after each atom.
Atoms (fractional coordinates):
1 W 0.0000 0.0000 0.0000  6 N 2.18
2 N 0.5000 0.5000 0.5000  6 W 2.18

**Total energy**: -10.32 eV/atom
**Formation energy without anion corrections**: 7.46 kcal/mol of atoms
**Symmetry**: Fm-3m, No. 225
**Density of states at the Fermi level**: 0.64 states/eV per cell
**Magnetic moment**: 0.000 μB/f.u.

---

(3)
The following is a DFT calculation (PBE) of a relaxed Pu4PPt2 crystal.

Cell: 7.4978 7.4978 7.4978 Å, 108.94 110.54 108.94°
With the nearest neighbours (Å) after each atom.
Atoms (fractional coordinates):
1 Pu 0.1152 0.8855 0.3674  2 P 2.85-3.07, 4 Pt 2.88-3.17, 1 Pu 3.19
2 Pu 0.6326 0.7478 0.5181  2 P 2.85-3.07, 4 Pt 2.88-3.17, 1 Pu 3.19
3 Pu 0.9797 0.6145 0.7319  2 P 2.85-3.07, 4 Pt 2.88-3.17, 1 Pu 3.19
4 Pu 0.2681 0.2478 0.8826  2 P 2.85-3.07, 4 Pt 2.88-3.17, 1 Pu 3.19
5 Pu 0.6348 0.7522 0.0203  2 P 2.85-3.07, 4 Pt 2.88-3.17, 1 Pu 3.19
6 Pu 0.7703 0.2522 0.8848  2 P 2.85-3.07, 4 Pt 2.88-3.17, 1 Pu 3.19
7 Pu 0.4819 0.1145 0.2297  2 P 2.85-3.07, 4 Pt 2.88-3.17, 1 Pu 3.19
8 Pu 0.1174 0.3855 0.3652  2 P 2.85-3.07, 4 Pt 2.88-3.17, 1 Pu 3.19
9 P 0.0000 0.0000 0.0000  8 Pu 2.85-3.07
10 P 0.7500 0.5000 0.2500  8 Pu 2.85-3.07
11 Pt 0.8750 0.1334 0.5084  8 Pu 2.88-3.17
12 Pt 0.4916 0.3666 0.6250  8 Pu 2.88-3.17
13 Pt 0.3750 0.8666 0.7416  8 Pu 2.88-3.17
14 Pt 0.2584 0.6334 0.1250  8 Pu 2.88-3.17

**Total energy**: -11.42 eV/atom
**Symmetry**: I-42d, No. 122
**Density of states at the Fermi level**: 61.07 states/eV per cell
**Magnetic moment**: 22.784 μB/f.u.

---

(4)
The following is a DFT calculation (PBE) of a relaxed PmSmAg4 crystal.

Cell: 5.7672 5.7672 5.7672 Å, 60.00 60.00 60.00°
With the nearest neighbours (Å) after each atom.
Atoms (fractional coordinates):
1 Ag 0.6249 0.6249 0.1252  6 Ag 2.88
2 Ag 0.6249 0.1252 0.6249  6 Ag 2.88
3 Ag 0.6249 0.6249 0.6249  6 Ag 2.88
4 Ag 0.1252 0.6249 0.6249  6 Ag 2.88
5 Sm 0.2500 0.2500 0.2500  12 Ag 3.38, 4 Pm 3.53
6 Pm 0.0000 0.0000 0.0000  12 Ag 3.38, 4 Sm 3.53

**Total energy**: -3.64 eV/atom
**Symmetry**: F-43m, No. 216
**Density of states at the Fermi level**: 4.69 states/eV per cell
**Magnetic moment**: 0.000 μB/f.u.
**Relative energy among the computed polymorphs**: 100 meV/atom